10
Lattice="-0.970 -6.000 2.466 1.419 -2.629 -5.840 3.558 -0.185 0.948" Properties=species:S:1:pos:R:3 comment="CuPt2Rh2 | the Alexandria database | PBE-GGA | relaxed" delta_e_f_mev_per_atom=262 de_polymorph_mev_per_atom=307 pbc="T T T"
Cu 0.225 -4.315 -1.687
Cu 0.000 0.000 0.000
Pt 0.098 -6.809 -1.700
Pt 0.351 -1.820 -1.674
Rh 1.640 -2.605 0.504
Rh 2.367 -6.211 -2.930
Rh 1.454 -6.158 0.509
Rh 2.554 -2.657 -2.934
Pt -0.418 -4.295 0.727
Pt 0.867 -4.335 -4.100

***

11
Lattice="-3.998 0.422 4.011 3.888 -1.098 3.991 1.505 7.795 0.680" Properties=species:S:1:pos:R:3 comment="PmGa8Pd2 | the Alexandria database | PBE-GGA | relaxed" delta_e_f_mev_per_atom=-129 pbc="T T T"
Ga 3.151 5.425 4.532
Ga 0.234 1.131 6.192
Ga 0.290 1.478 2.096
Pd -1.999 0.211 2.006
Ga -1.756 1.694 4.149
Ga 1.105 5.641 6.585
Ga 2.281 0.916 4.139
Pd 1.944 -0.549 1.995
Pm 0.697 3.559 4.341
Ga -0.886 6.203 4.543
Ga 1.161 5.987 2.489

***

12
Lattice="3.455 0.000 0.000 0.000 10.035 -0.498 -1.728 -3.051 10.947" Properties=species:S:1:pos:R:3 comment="TbEr3Tm2 | the Alexandria database | PBE-GGA | relaxed" delta_e_f_mev_per_atom=125 de_polymorph_mev_per_atom=100 pbc="T T T"
Er 0.000 1.016 6.525
Tb 1.728 -0.739 4.071
Tm 0.000 0.948 1.466
Tm 0.000 4.415 6.413
Er 0.000 2.937 9.382
Er 1.728 5.968 3.925
Tm 1.728 2.569 4.036
Er 1.728 -0.284 9.309
Er 1.728 4.047 1.068
Tm 1.728 6.036 8.983
Tb 0.000 7.723 6.378
Er 0.000 7.268 1.140

***

29
Lattice="9.693 0.000 5.596 3.231 9.139 5.596 0.000 0.000 11.193" Properties=species:S:1:pos:R:3 comment="Pm7Nd6Tm16 | the Alexandria database | PBE-GGA | relaxed" delta_e_f_mev_per_atom=235 pbc="T T T"
Tm 11.254 7.958 19.493
Nd 7.985 2.415 13.831
Tm 1.670 1.181 8.300
Tm 4.511 3.190 14.572
Nd 7.985 2.415 8.555
Tm 9.693 3.543 16.789
Tm 2.560 5.949 11.193
Tm 10.364 3.190 11.193
Tm 1.670 1.181 2.892
Pm 4.847 0.000 8.395
Tm 6.571 7.958 16.789
Tm 6.462 0.431 11.193
Tm 11.254 7.958 14.085
Nd 4.939 6.724 8.555
Pm 0.000 0.000 0.000
Nd 4.939 6.724 13.831
Nd 3.416 2.415 11.193
Tm 4.511 3.190 7.813
Pm 6.462 4.569 5.596
Pm 1.616 4.569 2.798
Tm 8.413 5.949 14.572
Pm 0.000 0.000 5.596
Pm 4.847 0.000 2.798
Pm 1.616 4.569 8.395
Tm 8.413 5.949 7.813
Tm 6.353 1.181 5.596
Tm 3.231 5.596 5.596
Tm 6.462 8.708 11.193
Nd 9.509 6.724 11.193

***

| no. | mass density (g/cm3) | calculated total energy (eV per cell) | size of the total moment (μB per formula unit) |
| --- | --- | --- | --- |
| 1 | 13.8 | -59.145 | 0.00 |
| 2 | 5.9 | -40.770 | 0.00 |
| 3 | 8.9 | -53.030 | 0.00 |
| 4 | 7.7 | -126.594 | 0.00 |